## MgAgNO (GGA-PBE)

Data for a relaxed structure of MgAgNO.

- final energy (eV/atom) = -4.546
- energy above the most stable polymorph in this dataset (meV/atom) = 256
- space group = Pbcm, No. 57

Cell lengths 4.5220, 4.7892, 8.4088 Å; angles 90.00, 90.00, 90.00 degrees
Sites, in units of the cell vectors:
1 Mg 0.5506 0.0012 0.8759
2 Mg 0.5506 0.5012 0.1241
3 Mg 0.0506 0.9988 0.1241
4 Mg 0.0506 0.4988 0.8759
5 N 0.0506 0.0011 0.8737
6 N 0.0506 0.5011 0.1263
7 N 0.5506 0.4989 0.8737
8 N 0.5506 0.9989 0.1263
9 Ag 0.0506 0.5007 0.3697
10 Ag 0.5506 0.4993 0.6303
11 Ag 0.0506 0.0007 0.6303
12 Ag 0.5506 0.9993 0.3697
13 O 0.0506 0.5004 0.6316
14 O 0.0506 0.0004 0.3684
15 O 0.5506 0.9996 0.6316
16 O 0.5506 0.4996 0.3684